The following is a PBE with a Hubbard U calculation of a relaxed structure of NaCo2GeO4, from Alexandria via LeMat-Bulk.

Output
For the uncorrected energy, the calculation gives -5.7213 eV per atom.

Geometry as POSCAR:
```
NaCo2GeO4
1.0
-2.5126 2.5126 4.0683
2.5126 -2.5126 4.0683
2.5126 2.5126 -4.0683
Na Co Ge O
1 2 1 4
direct
0.0000 0.0000 0.0000
0.2500 0.7500 0.5000
0.7500 0.2500 0.5000
0.5000 0.5000 0.0000
0.1638 0.1638 0.5866
0.4227 0.8362 0.0000
0.5773 0.5773 0.4134
0.8362 0.4227 0.0000
```


The following is a PBE with a Hubbard U calculation of a relaxed structure of Na2CoGeO4, from Alexandria via LeMat-Bulk.

Output
The relative energy among the computed polymorphs is 30 meV per atom. For the uncorrected energy, the calculation gives -5.6134 eV per atom.

Geometry as POSCAR:
```
Na2CoGeO4
1.0
6.4640 0.0000 0.0000
0.0000 6.2774 0.0000
0.0000 0.0000 5.4451
Na Co Ge O
4 2 2 8
direct
0.2471 0.1655 0.0000
0.2529 0.8345 0.5000
0.7471 0.8345 0.5000
0.7529 0.1655 0.0000
0.0000 0.3542 0.5074
0.5000 0.6458 0.0074
0.0000 0.6545 0.0115
0.5000 0.3455 0.5115
0.0000 0.3995 0.8703
0.0000 0.6296 0.3368
0.2296 0.8017 0.9297
0.2704 0.1983 0.4297
0.5000 0.3704 0.8368
0.5000 0.6005 0.3703
0.7296 0.1983 0.4297
0.7704 0.8017 0.9297
```


The following is a PBE with a Hubbard U calculation of a relaxed structure of Na2CoGeO4, from Alexandria via LeMat-Bulk.

Output
The relative energy among the computed polymorphs is 0 meV per atom. For the uncorrected energy, the calculation gives -5.6437 eV per atom.

Geometry as POSCAR:
```
Na2CoGeO4
1.0
5.4199 0.0000 0.0000
0.0000 5.7012 0.0000
-5.4200 0.0000 7.1947
Na Co Ge O
4 2 2 8
direct
0.0000 0.1731 0.0000
0.0000 0.8269 0.5000
0.2573 0.3239 0.7554
0.2573 0.6761 0.2554
0.7599 0.3147 0.2483
0.7599 0.6853 0.7483
0.5179 0.1849 0.5025
0.5179 0.8151 0.0025
0.1708 0.2947 0.2968
0.1708 0.7053 0.7968
0.4606 0.1173 0.0285
0.4606 0.8827 0.5285
0.6344 0.3467 0.7056
0.6344 0.6533 0.2056
0.8185 0.2069 0.4764
0.8185 0.7931 0.9764
```


Repeat the first record exactly.
The following is a PBE with a Hubbard U calculation of a relaxed structure of NaCo2GeO4, from Alexandria via LeMat-Bulk.

Output
For the uncorrected energy, the calculation gives -5.7213 eV per atom.

Geometry as POSCAR:
```
NaCo2GeO4
1.0
-2.5126 2.5126 4.0683
2.5126 -2.5126 4.0683
2.5126 2.5126 -4.0683
Na Co Ge O
1 2 1 4
direct
0.0000 0.0000 0.0000
0.2500 0.7500 0.5000
0.7500 0.2500 0.5000
0.5000 0.5000 0.0000
0.1638 0.1638 0.5866
0.4227 0.8362 0.0000
0.5773 0.5773 0.4134
0.8362 0.4227 0.0000
```


Look up the uncorrected energy of the first one.
-5.7213 eV per atom


Among the records above, which one has the lowest uncorrected energy?
NaCo2GeO4


Which formula does entry 3 have?
Na2CoGeO4